(1)
# PBE Li2Mg5Pd2, optimized geometry
data_Li2Mg5Pd2
_chemical_formula_sum 'Li4 Mg10 Pd4'
_symmetry_space_group_name_H-M 'C 1 m 1'
_symmetry_Int_Tables_number 8
_cell_length_a 6.9890
_cell_length_b 7.5969
_cell_length_c 7.0684
_cell_angle_alpha 90.00
_cell_angle_beta 101.14
_cell_angle_gamma 90.00
loop_
_symmetry_equiv_pos_as_xyz
'x,y,z'
'x,-y,z'
'x+1/2,y+1/2,z'
'x+1/2,-y+1/2,z'
loop_
_atom_site_label
_atom_site_fract_x
_atom_site_fract_y
_atom_site_fract_z
_atom_site_occupancy
Li1 0.0000 0.0000 0.0000 1
Li2 0.0190 0.0000 0.4836 1
Mg1 0.0144 0.5000 0.9791 1
Mg2 0.2191 0.2880 0.6951 1
Mg3 0.3182 0.2105 0.2687 1
Pd1 0.1449 0.5000 0.3519 1
Pd2 0.3960 0.0000 0.6053 1
# * offset from the most stable computed form: 0.0 meV/atom
# * total DFT energy (no corrections): -2.77 eV per atom
# * DOS at the Fermi energy: 7.13 states/eV per cell



(2)
# PBE NaNiI3, optimized geometry
data_NaNiI3
_chemical_formula_sum 'Na1 Ni1 I3'
_symmetry_space_group_name_H-M 'P m -3 m'
_symmetry_Int_Tables_number 221
_symmetry_space_group_name_Hall '-P 4 2 3'
_cell_length_a 5.8605
_cell_length_b 5.8605
_cell_length_c 5.8605
_cell_angle_alpha 90.00
_cell_angle_beta 90.00
_cell_angle_gamma 90.00
loop_
_atom_site_label
_atom_site_fract_x
_atom_site_fract_y
_atom_site_fract_z
_atom_site_occupancy
Na1 0.0000 0.0000 0.0000 1
Ni1 0.5000 0.5000 0.5000 1
I1 0.0000 0.0000 0.5000 1
# * offset from the most stable computed form: 867.8 meV/atom
# * total DFT energy (no corrections): -1.85 eV per atom
# * formation energy without anion corrections: 48.44 kJ/mol of atoms
# * DOS at the Fermi energy: 20.31 states/eV per cell



(3)
# PBE LiDyIn2Br6, optimized geometry
data_LiDyIn2Br6
_chemical_formula_sum 'Li2 Dy2 In4 Br12'
_symmetry_space_group_name_H-M 'P 1 21/c 1'
_symmetry_Int_Tables_number 14
_cell_length_a 7.5469
_cell_length_b 7.8875
_cell_length_c 13.1067
_cell_angle_alpha 90.00
_cell_angle_beta 124.68
_cell_angle_gamma 90.00
loop_
_symmetry_equiv_pos_as_xyz
'x,y,z'
'-x,-y,-z'
'-x,y+1/2,-z+1/2'
'x,-y+1/2,z+1/2'
loop_
_atom_site_label
_atom_site_fract_x
_atom_site_fract_y
_atom_site_fract_z
_atom_site_occupancy
Li1 0.0000 0.0000 0.0000 1
Dy1 0.5000 0.0000 0.5000 1
In1 0.2230 0.0771 0.7442 1
Br1 0.1556 0.1998 0.4570 1
Br2 0.2578 0.7046 0.4557 1
Br3 0.3369 0.0156 0.2471 1
# * total DFT energy (no corrections): -3.52 eV per atom
# * formation energy without anion corrections: -126.90 kJ/mol of atoms
# * DOS at the Fermi energy: 0.00 states/eV per cell



(4)
# PBE Hf2NbSi2, optimized geometry
data_Hf2NbSi2
_chemical_formula_sum 'Hf4 Nb2 Si4'
_symmetry_space_group_name_H-M 'P 4/m b m'
_symmetry_Int_Tables_number 127
_symmetry_space_group_name_Hall '-P 4 2ab'
_cell_length_a 6.8414
_cell_length_b 6.8414
_cell_length_c 3.7183
_cell_angle_alpha 90.00
_cell_angle_beta 90.00
_cell_angle_gamma 90.00
loop_
_atom_site_label
_atom_site_fract_x
_atom_site_fract_y
_atom_site_fract_z
_atom_site_occupancy
Hf1 0.1752 0.3248 0.0000 1
Nb1 0.0000 0.0000 0.5000 1
Si1 0.1250 0.6250 0.5000 1
# * total DFT energy (no corrections): -8.99 eV per atom
# * formation energy without anion corrections: -79.49 kJ/mol of atoms
# * DOS at the Fermi energy: 3.74 states/eV per cell



(5)
# PBE Na2SrCe, optimized geometry
data_Na2SrCe
_chemical_formula_sum 'Na6 Sr3 Ce3'
_symmetry_space_group_name_H-M 'R -3 m'
_symmetry_Int_Tables_number 166
_symmetry_space_group_name_Hall '-R 3 2"'
_cell_length_a 3.6415
_cell_length_b 3.6415
_cell_length_c 41.3841
_cell_angle_alpha 90.00
_cell_angle_beta 90.00
_cell_angle_gamma 120.00
loop_
_atom_site_label
_atom_site_fract_x
_atom_site_fract_y
_atom_site_fract_z
_atom_site_occupancy
Na1 0.0000 0.0000 0.0851 1
Sr1 0.0000 0.0000 0.5000 1
Ce1 0.0000 0.0000 0.0000 1
# * total DFT energy (no corrections): -2.19 eV per atom
# * DOS at the Fermi energy: 27.83 states/eV per cell



(6)
# PBE GaPd2Rh2, optimized geometry
data_GaPd2Rh2
_chemical_formula_sum 'Ga2 Pd4 Rh4'
_symmetry_space_group_name_H-M 'P 4/m b m'
_symmetry_Int_Tables_number 127
_symmetry_space_group_name_Hall '-P 4 2ab'
_cell_length_a 6.3195
_cell_length_b 6.3195
_cell_length_c 4.0020
_cell_angle_alpha 90.00
_cell_angle_beta 90.00
_cell_angle_gamma 90.00
loop_
_atom_site_label
_atom_site_fract_x
_atom_site_fract_y
_atom_site_fract_z
_atom_site_occupancy
Ga1 0.0000 0.0000 0.0000 1
Pd1 0.1614 0.3386 0.5000 1
Rh1 0.1397 0.6397 0.0000 1
# * total DFT energy (no corrections): -5.64 eV per atom
# * DOS at the Fermi energy: 10.64 states/eV per cell